Version 1
An optimized crystal structure of Hf3MnC. Source: Alexandria, functional GGA-PBE.

Cell: 4.416 4.416 4.416 Å, 90.00 90.00 90.00°
Space group Pm-3m (No. 221)
Symmetry-distinct sites (fractional):
Hf 0.000 0.000 0.500 [3 per cell]
Mn 0.500 0.500 0.500 [1 per cell]
C 0.000 0.000 0.000 [1 per cell]

Calculated values
Crystal system: cubic
Magnetization, μB/cell: 0.0


Version 2
An optimized crystal structure of Hf3MnC. Source: Alexandria, functional GGA-PBE.

Cell: 4.673 4.673 4.673 Å, 90.00 90.00 90.00°
Space group Pm-3m (No. 221)
Symmetry-distinct sites (fractional):
Hf 0.000 0.000 0.500 [3 per cell]
Mn 0.000 0.000 0.000 [1 per cell]
C 0.500 0.500 0.500 [1 per cell]

Calculated values
Crystal system: cubic
Magnetization, μB/cell: 0.0


Name the least stable of them. version 2.